# PBE RbFeAsCl6, optimized geometry
# ΔE_f (raw)   -0.9668 eV/atom
# Crystal system   monoclinic
# ρ   2.6 g/cm3
# M_tot   8.000 μB per cell
# D(E_F)   6.10 states/eV/f.u.
# Final energy   -67.72 eV/cell
data_RbFeAsCl6
_space_group_name_H-M_alt 'C 1 2 1'
_space_group_IT_number 5
_cell_length_a 6.569
_cell_length_b 11.374
_cell_length_c 7.350
_cell_angle_alpha 90.00
_cell_angle_beta 90.15
_cell_angle_gamma 90.00
loop_
_space_group_symop_operation_xyz
'x,y,z'
'-x,y,-z'
'x+1/2,y+1/2,z'
'-x+1/2,y+1/2,-z'
loop_
_atom_site_label
_atom_site_fract_x
_atom_site_fract_y
_atom_site_fract_z
Rb1 0.000 0.000 0.000
Fe1 0.000 0.667 0.500
As1 0.000 0.333 0.500
Cl1 0.121 0.502 0.695
Cl2 0.185 0.810 0.694
Cl3 0.192 0.186 0.693